1.
The following is a PBE calculation of an optimized crystal structure of PmSmDy2Hg4, from Alexandria. Values from VASP.

```
&SYSTEM
  ibrav = 0, nat = 8, ntyp = 4
/
ATOMIC_SPECIES
Dy 162.50 Dy.upf
Pm 145.00 Pm.upf
Sm 150.36 Sm.upf
Hg 200.59 Hg.upf
CELL_PARAMETERS angstrom
-5.114 -1.182 0.897
-1.282 -4.432 2.659
-1.837 2.536 8.672
ATOMIC_POSITIONS crystal
Dy 0.750 0.750 0.750
Dy 0.250 0.250 0.250
Pm 0.500 0.500 0.500
Sm 0.000 0.000 0.000
Hg 0.375 0.375 0.876
Hg 0.875 0.875 0.374
Hg 0.625 0.625 0.124
Hg 0.125 0.125 0.626
```

Results
Symmetry: R-3m (166)
E_form in eV/atom: -0.47
Total moment in μB/atom: 0.142

2.
The following is a PBE calculation of an optimized crystal structure of Rb12H5I3, from Alexandria. Values from VASP.

```
&SYSTEM
  ibrav = 0, nat = 80, ntyp = 3
/
ATOMIC_SPECIES
H 1.01 H.upf
Rb 85.47 Rb.upf
I 126.90 I.upf
CELL_PARAMETERS angstrom
-6.016 15.938 -0.404
-12.704 -10.945 -3.031
6.681 -3.163 15.354
ATOMIC_POSITIONS crystal
H 0.375 0.125 0.750
H 0.625 0.750 0.875
H 0.750 0.625 0.375
H 0.000 0.000 0.000
H 0.875 0.250 0.625
H 0.875 0.625 0.750
H 0.000 0.500 0.500
H 0.750 0.125 0.875
H 0.125 0.750 0.375
H 0.000 0.500 0.000
H 0.375 0.250 0.125
H 0.500 0.500 0.500
H 0.500 0.500 0.000
H 0.625 0.875 0.250
H 0.000 0.000 0.500
H 0.125 0.375 0.250
H 0.250 0.875 0.125
H 0.250 0.375 0.625
H 0.500 0.000 0.500
H 0.500 0.000 0.000
Rb 0.199 0.688 0.084
Rb 0.988 0.384 0.301
Rb 0.584 0.884 0.396
Rb 0.116 0.699 0.512
Rb 0.301 0.884 0.988
Rb 0.416 0.116 0.604
Rb 0.384 0.396 0.084
Rb 0.312 0.512 0.396
Rb 0.301 0.416 0.812
Rb 0.688 0.199 0.584
Rb 0.396 0.384 0.584
Rb 0.396 0.012 0.312
Rb 0.916 0.812 0.801
Rb 0.699 0.116 0.012
Rb 0.988 0.604 0.188
Rb 0.801 0.488 0.384
Rb 0.084 0.188 0.199
Rb 0.604 0.616 0.416
Rb 0.104 0.188 0.488
Rb 0.312 0.801 0.416
Rb 0.416 0.301 0.312
Rb 0.884 0.301 0.488
Rb 0.012 0.396 0.812
Rb 0.916 0.104 0.616
Rb 0.616 0.604 0.916
Rb 0.188 0.084 0.699
Rb 0.488 0.801 0.884
Rb 0.604 0.988 0.688
Rb 0.512 0.199 0.116
Rb 0.884 0.584 0.896
Rb 0.512 0.312 0.896
Rb 0.116 0.416 0.104
Rb 0.688 0.488 0.604
Rb 0.812 0.896 0.012
Rb 0.084 0.896 0.384
Rb 0.384 0.988 0.801
Rb 0.616 0.012 0.199
Rb 0.012 0.616 0.699
Rb 0.801 0.312 0.916
Rb 0.188 0.104 0.988
Rb 0.896 0.812 0.512
Rb 0.699 0.584 0.188
Rb 0.896 0.084 0.884
Rb 0.488 0.688 0.104
Rb 0.812 0.916 0.301
Rb 0.584 0.699 0.688
Rb 0.104 0.916 0.116
Rb 0.199 0.512 0.616
I 0.250 0.625 0.875
I 0.875 0.125 0.250
I 0.750 0.875 0.625
I 0.375 0.750 0.625
I 0.750 0.375 0.125
I 0.125 0.875 0.750
I 0.375 0.625 0.250
I 0.625 0.250 0.375
I 0.625 0.375 0.750
I 0.875 0.750 0.125
I 0.250 0.125 0.375
I 0.125 0.250 0.875
```

Results
Symmetry: Ia-3d (230)
Uncorrected energy in eV per cell: -162.80
Total moment in μB/atom: 0.157

3.
The following is a PBE calculation of an optimized crystal structure of Sn4PSe2, from Alexandria. Values from VASP.

```
&SYSTEM
  ibrav = 0, nat = 7, ntyp = 3
/
ATOMIC_SPECIES
Se 78.96 Se.upf
Sn 118.71 Sn.upf
P 30.97 P.upf
CELL_PARAMETERS angstrom
-3.683 -1.589 3.147
0.077 -4.587 -2.225
4.183 -5.736 6.129
ATOMIC_POSITIONS crystal
Se 0.595 0.595 0.811
Se 0.405 0.405 0.189
Sn 0.751 0.751 0.498
Sn 0.500 0.000 0.000
Sn 0.000 0.500 0.000
Sn 0.249 0.249 0.502
P 0.000 0.000 0.000
```

Results
Symmetry: I4/mmm (139)
Raw formation energy in eV per atom: 0.079
Total moment in μB/atom: 0.000

4.
The following is a PBE calculation of an optimized crystal structure of V3CoP, from Alexandria. Values from VASP.

```
&SYSTEM
  ibrav = 0, nat = 5, ntyp = 3
/
ATOMIC_SPECIES
V 50.94 V.upf
P 30.97 P.upf
Co 58.93 Co.upf
CELL_PARAMETERS angstrom
4.287 0.000 0.000
0.000 4.287 0.000
0.000 0.000 4.287
ATOMIC_POSITIONS crystal
V 0.000 0.500 0.000
V 0.000 0.000 0.500
V 0.500 0.000 0.000
P 0.000 0.000 0.000
Co 0.500 0.500 0.500
```

Results
Symmetry: Pm-3m (221)
E_form in eV/atom: 0.50
Excess energy over the best structure of this formula in the dataset in eV per atom: 0.0000
Total moment in μB/atom: 0.231